(1)
Here is crystalline NbBAu at its relaxed geometry from OQMD via LeMat-Bulk. Energies are from PBE.

Structure (extended XYZ):
```
3
Lattice="0.000 2.971 2.971 2.971 0.000 2.971 2.971 2.971 0.000" Properties=species:S:1:pos:R:3 pbc="T T T"
Nb 0.000 0.000 0.000
B 1.485 1.485 1.485
Au 4.456 4.456 4.456
```

final energy: -17.3 eV per cell
symmetry: F-43m (216)
crystal system: cubic


(2)
Here is crystalline Nb2BAu at its relaxed geometry from OQMD via LeMat-Bulk. Energies are from PBE.

Structure (extended XYZ):
```
4
Lattice="0.000 3.160 3.160 3.160 0.000 3.160 3.160 3.160 0.000" Properties=species:S:1:pos:R:3 pbc="T T T"
Nb 0.000 0.000 0.000
Nb 1.580 1.580 1.580
B 3.160 3.160 3.160
Au 4.740 4.740 4.740
```

final energy: -26.7 eV per cell
symmetry: F-43m (216)
crystal system: cubic


(3)
Here is crystalline Nb3B2Au at its relaxed geometry from OQMD via LeMat-Bulk. Energies are from PBE.

Structure (extended XYZ):
```
12
Lattice="3.272 0.000 0.000 -1.636 2.833 0.000 0.000 0.000 18.994" Properties=species:S:1:pos:R:3 pbc="T T T"
Nb 0.000 0.000 0.000
Nb 0.000 0.000 9.497
Nb 0.000 1.889 2.550
Nb 0.000 1.889 6.947
Nb 1.636 0.944 12.047
Nb 1.636 0.944 16.444
B 0.000 1.889 10.860
B 0.000 1.889 17.631
B 1.636 0.944 1.363
B 1.636 0.944 8.134
Au 0.000 0.000 4.748
Au 0.000 0.000 14.245
```

final energy: -98.7 eV per cell
symmetry: P6_3/mmc (194)
crystal system: hexagonal


What did the second record say?
Here is crystalline Nb2BAu at its relaxed geometry from OQMD via LeMat-Bulk. Energies are from PBE.

Structure (extended XYZ):
```
4
Lattice="0.000 3.160 3.160 3.160 0.000 3.160 3.160 3.160 0.000" Properties=species:S:1:pos:R:3 pbc="T T T"
Nb 0.000 0.000 0.000
Nb 1.580 1.580 1.580
B 3.160 3.160 3.160
Au 4.740 4.740 4.740
```

final energy: -26.7 eV per cell
symmetry: F-43m (216)
crystal system: cubic